No. 1
DFT (GGA-PBEsol) results for a relaxed KBeN2O crystal.

Cell lengths 3.5724, 3.5724, 4.2063 Å; angles 90.00, 90.00, 90.00 degrees
Last column: nearest neighbours and their distance in Å.
Space group P4/mmm (No. 123)
Inequivalent atoms, fractional coordinates:
K  0.0000  0.0000  0.0000  4 O 2.53, 8 N 2.76
Be  0.5000  0.5000  0.5000  4 N 1.79
N  0.0000  0.5000  0.5000  2 Be 1.79
O  0.5000  0.5000  0.0000  2 Be 2.10

Summary:
E_form (uncorrected): 3.4 eV/f.u.


No. 2
DFT (GGA-PBEsol) results for a relaxed KBeTeN2 crystal.

Cell lengths 4.6222, 4.6222, 6.7283 Å; angles 90.00, 90.00, 90.00 degrees
Last column: nearest neighbours and their distance in Å.
Space group P4/mmm (No. 123)
Inequivalent atoms, fractional coordinates:
K  0.0000  0.0000  0.0000  4 N 2.31
Be  0.5000  0.5000  0.5000  4 Te 3.27
Te  0.0000  0.0000  0.5000  4 Be 3.27, 2 K 3.36
N  0.0000  0.5000  0.0000  2 K 2.31

Summary:
E_form (uncorrected): 12.2 eV/f.u.


No. 3
DFT (GGA-PBEsol) results for a relaxed KYBeN2 crystal.

Cell lengths 4.3956, 4.3956, 6.1883 Å; angles 90.00, 90.00, 90.00 degrees
Last column: nearest neighbours and their distance in Å.
Space group P4/mmm (No. 123)
Inequivalent atoms, fractional coordinates:
K  0.0000  0.0000  0.0000  2 Y 3.09, 4 Be 3.11
Y  0.0000  0.0000  0.5000  4 N 2.20
Be  0.5000  0.5000  0.0000  4 K 3.11
N  0.0000  0.5000  0.5000  2 Y 2.20

Summary:
E_form (uncorrected): 6.5 eV/f.u.


No. 4
DFT (GGA-PBEsol) results for a relaxed KBe2Nb crystal.

Cell lengths 7.1067, 7.1067, 6.4627 Å; angles 90.00, 90.00, 90.00 degrees
Last column: nearest neighbours and their distance in Å.
Space group I-42d (No. 122)
Inequivalent atoms, fractional coordinates:
K  0.0000  0.0000  0.0000  4 Be 2.92, 2 Nb 3.23
Be  0.1953  0.2500  0.6250  2 Nb 2.39
Nb  0.0000  0.0000  0.5000  4 Be 2.39

Summary:
VASP energy: -3.515 eV per atom


No. 5
DFT (GGA-PBEsol) results for a relaxed KBeNi crystal.

Cell lengths 6.5663, 6.5663, 6.5663 Å; angles 90.00, 90.00, 90.00 degrees
Last column: nearest neighbours and their distance in Å.
Space group F-43m (No. 216)
Inequivalent atoms, fractional coordinates:
K  0.0000  0.0000  0.0000  4 Ni 2.84, 4 Be 2.84
Be  0.2500  0.2500  0.2500  4 K 2.84
Ni  0.2500  0.2500  0.7500  4 K 2.84

Summary:
energy above the most stable polymorph in this dataset: 705 meV per atom


No. 6
DFT (GGA-PBEsol) results for a relaxed KBeNi3 crystal.

Cell lengths 4.3320, 4.3320, 4.3320 Å; angles 90.00, 90.00, 90.00 degrees
Last column: nearest neighbours and their distance in Å.
Space group Pm-3m (No. 221)
Inequivalent atoms, fractional coordinates:
K  0.0000  0.0000  0.0000  6 Ni 2.17
Be  0.5000  0.5000  0.5000  12 Ni 3.06
Ni  0.0000  0.0000  0.5000  2 K 2.17

Summary:
VASP energy: -2.385 eV per atom


No. 7
DFT (GGA-PBEsol) results for a relaxed KBeNi crystal.

Cell lengths 6.2411, 6.2411, 6.2411 Å; angles 90.00, 90.00, 90.00 degrees
Last column: nearest neighbours and their distance in Å.
Space group F-43m (No. 216)
Inequivalent atoms, fractional coordinates:
K  0.0000  0.0000  0.0000  4 Ni 2.70
Be  0.0000  0.0000  0.5000  4 Ni 2.70
Ni  0.2500  0.2500  0.7500  4 Be 2.70, 4 K 2.70

Summary:
energy above the most stable polymorph in this dataset: 0 meV per atom


No. 8
DFT (GGA-PBEsol) results for a relaxed KBeNi crystal.

Cell lengths 6.2437, 6.2437, 6.2437 Å; angles 90.00, 90.00, 90.00 degrees
Last column: nearest neighbours and their distance in Å.
Space group F-43m (No. 216)
Inequivalent atoms, fractional coordinates:
K  0.0000  0.0000  0.0000  4 Be 2.70
Be  0.2500  0.2500  0.2500  4 K 2.70, 4 Ni 2.70
Ni  0.0000  0.0000  0.5000  4 Be 2.70

Summary:
energy above the most stable polymorph in this dataset: 58 meV per atom


No. 9
DFT (GGA-PBEsol) results for a relaxed KBe3O crystal.

Cell lengths 4.1326, 4.1326, 4.1326 Å; angles 90.00, 90.00, 90.00 degrees
Last column: nearest neighbours and their distance in Å.
Space group Pm-3m (No. 221)
Inequivalent atoms, fractional coordinates:
K  0.0000  0.0000  0.0000  12 Be 2.92
Be  0.0000  0.5000  0.5000  2 O 2.07
O  0.5000  0.5000  0.5000  6 Be 2.07

Summary:
E_form (uncorrected): 4.1 eV/f.u.


No. 10
DFT (GGA-PBEsol) results for a relaxed KBeO3 crystal.

Cell lengths 4.1216, 4.1216, 4.1216 Å; angles 90.00, 90.00, 90.00 degrees
Last column: nearest neighbours and their distance in Å.
Space group Pm-3m (No. 221)
Inequivalent atoms, fractional coordinates:
K  0.0000  0.0000  0.0000  6 O 2.06
Be  0.5000  0.5000  0.5000  12 O 2.91
O  0.0000  0.0000  0.5000  2 K 2.06

Summary:
E_form (uncorrected): 7.3 eV/f.u.


No. 11
DFT (GGA-PBEsol) results for a relaxed K2Be2O3 crystal.

Cell lengths 4.9325, 7.9813, 6.2860 Å; angles 90.00, 115.94, 90.00 degrees
Last column: nearest neighbours and their distance in Å.
Space group P2_1/c (No. 14)
Inequivalent atoms, fractional coordinates:
K  0.2151  0.1483  0.4254  4 O 2.65-2.95, 1 Be 2.94
Be  0.3046  0.5116  0.5052  3 O 1.49-1.58
O  0.0000  0.0000  0.0000  2 Be 1.49
O  0.3880  0.5534  0.2960  2 Be 1.57-1.58

Summary:
E_form (uncorrected): -14.5 eV/f.u.


No. 12
DFT (GGA-PBEsol) results for a relaxed K7Be12P12O48 crystal.

Cell lengths 13.5268, 13.5268, 13.5268 Å; angles 90.00, 90.00, 90.00 degrees
Last column: nearest neighbours and their distance in Å.
Space group I23 (No. 197)
Inequivalent atoms, fractional coordinates:
K  0.0000  0.0000  0.5000  4 O 2.72
K  0.2010  0.2010  0.7990  3 O 2.86
Be  0.0682  0.2209  0.3710  4 O 1.61-1.63
P  0.0676  0.3704  0.2203  4 O 1.54
O  0.0452  0.3817  0.7914  1 P 1.54, 1 Be 1.63
O  0.0493  0.2113  0.6113  1 P 1.54, 1 Be 1.61
O  0.0929  0.2690  0.2647  1 P 1.54, 1 Be 1.61
O  0.1119  0.3795  0.1160  1 P 1.54, 1 Be 1.61

Summary:
E_form (uncorrected): -185.6 eV/f.u.


No. 13
DFT (GGA-PBEsol) results for a relaxed KBeP3O9 crystal.

Cell lengths 7.8774, 8.6629, 11.4553 Å; angles 90.00, 90.00, 90.00 degrees
Last column: nearest neighbours and their distance in Å.
Space group P2_12_12_1 (No. 19)
Inequivalent atoms, fractional coordinates:
K  0.0041  0.2033  0.0680  5 O 2.70-2.97
Be  0.1804  0.2901  0.3714  4 O 1.60-1.63
P  0.1807  0.5064  0.7011  4 O 1.48-1.62
P  0.1917  0.7931  0.1177  4 O 1.48-1.59
P  0.1916  0.9986  0.8000  4 O 1.48-1.62
O  0.0040  0.9261  0.8023  2 P 1.61
O  0.0138  0.8546  0.1275  1 P 1.50, 1 Be 1.63
O  0.1853  0.0807  0.6726  2 P 1.59-1.62
O  0.1905  0.1382  0.2875  1 P 1.51, 1 Be 1.63
O  0.2034  0.5730  0.8214  1 P 1.51, 1 Be 1.60
O  0.2037  0.6486  0.2034  2 P 1.59-1.62
O  0.2151  0.6015  0.5962  1 P 1.48
O  0.2203  0.1132  0.8940  1 P 1.48
O  0.2401  0.2454  0.5007  1 P 1.48, 1 Be 1.60

Summary:
E_form (uncorrected): -32.5 eV/f.u.


No. 14
DFT (GGA-PBEsol) results for a relaxed K2Be2Si6O15 crystal.

Cell lengths 7.5348, 15.5249, 11.4964 Å; angles 90.00, 90.00, 90.00 degrees
Last column: nearest neighbours and their distance in Å.
Space group Cmc2_1 (No. 36)
Inequivalent atoms, fractional coordinates:
K  0.0000  0.1025  0.0000  5 O 2.64-2.84
K  0.0000  0.1823  0.7183  7 O 2.64-2.96
Be  0.1518  0.3806  0.3528  4 O 1.58-1.67
Si  0.0000  0.3515  0.1142  4 O 1.61-1.64
Si  0.0000  0.4513  0.5781  4 O 1.61-1.64
Si  0.2049  0.0536  0.2694  4 O 1.60-1.65
Si  0.2100  0.2091  0.4466  4 O 1.60-1.65
O  0.0000  0.0721  0.2262  2 Si 1.65
O  0.0000  0.2031  0.4855  2 Si 1.65
O  0.0000  0.3559  0.2541  1 Si 1.61, 2 Be 1.66
O  0.0000  0.4029  0.4542  1 Si 1.61, 2 Be 1.67
O  0.0000  0.4460  0.0552  2 Si 1.62
O  0.1786  0.4254  0.6513  2 Si 1.64-1.65
O  0.1802  0.3019  0.0703  2 Si 1.64-1.65
O  0.2215  0.0426  0.8170  1 Be 1.58, 1 Si 1.60
O  0.2340  0.2018  0.8878  1 Be 1.59, 1 Si 1.60
O  0.2426  0.3735  0.8652  2 Si 1.63

Summary:
E_form (uncorrected): -68.7 eV/f.u.


No. 15
DFT (GGA-PBEsol) results for a relaxed K2Be2Zn2Si3O11 crystal.

Cell lengths 6.7677, 9.6622, 14.9903 Å; angles 90.00, 90.00, 90.00 degrees
Last column: nearest neighbours and their distance in Å.
Space group Imma (No. 74)
Inequivalent atoms, fractional coordinates:
K  0.0000  0.2500  0.0506  2 O 2.62
K  0.0000  0.2500  0.6368  7 O 2.81-2.92
Be  0.1742  0.0000  0.5000  4 O 1.59-1.68
Zn  0.2500  0.0997  0.2500  4 O 1.94-2.00
Si  0.0000  0.0905  0.8656  4 O 1.61-1.66
Si  0.0000  0.2500  0.4021  4 O 1.63-1.64
O  0.0000  0.0097  0.2246  1 Si 1.66
O  0.0000  0.1110  0.4641  1 Si 1.63, 2 Be 1.68
O  0.0000  0.2500  0.8243  2 Si 1.66
O  0.1991  0.2500  0.3392  1 Si 1.64
O  0.2003  0.0666  0.9212  1 Be 1.59, 1 Si 1.61

Summary:
E_form (uncorrected): -48.9 eV/f.u.


No. 16
DFT (GGA-PBEsol) results for a relaxed KBeOs4 crystal.

Cell lengths 7.3616, 7.3616, 7.3616 Å; angles 90.00, 90.00, 90.00 degrees
Last column: nearest neighbours and their distance in Å.
Space group F-43m (No. 216)
Inequivalent atoms, fractional coordinates:
K  0.0000  0.0000  0.0000  12 Os 3.05, 4 Be 3.19
Be  0.2500  0.2500  0.2500  12 Os 3.05, 4 K 3.19
Os  0.1243  0.1243  0.6243  6 Os 2.59-2.62

Summary:
VASP energy: -7.725 eV per atom